No. 1
## YAgBr2 (meta-GGA SCAN)

Data for a crystal of YAgBr2 relaxed with PBEsol.

```
YAgBr2
1.0
0.0000 3.6023 3.6023
3.6023 0.0000 3.6023
3.6023 3.6023 0.0000
Y Ag Br
1 1 2
Direct
0.0000 0.0000 0.0000 Y
0.7500 0.7500 0.7500 Ag
0.2500 0.2500 0.2500 Br
0.5000 0.5000 0.5000 Br
```

Summary:
Uncorrected energy   -100.81 eV for the cell shown
Energy relative to the lowest polymorph listed for this composition   337 meV per atom
Energy relative to the elements, uncorrected   -0.67 eV/atom
Total magnetization   0.000 μB per cell



No. 2
## YAgBr2 (meta-GGA SCAN)

Data for a crystal of YAgBr2 relaxed with PBEsol.

```
YAgBr2
1.0
1.7996 1.0390 9.2783
-1.7996 1.0390 9.2783
0.0000 -2.0780 9.2783
Y Ag Br
1 1 2
Direct
0.0000 0.0000 0.0000 Y
0.5000 0.5000 0.5000 Ag
0.2646 0.2646 0.2646 Br
0.7354 0.7354 0.7354 Br
```

Summary:
Uncorrected energy   -101.70 eV for the cell shown
Energy relative to the lowest polymorph listed for this composition   114 meV per atom
Energy relative to the elements, uncorrected   -0.89 eV/atom
Total magnetization   0.000 μB per cell



No. 3
## YAgBr2 (meta-GGA SCAN)

Data for a crystal of YAgBr2 relaxed with PBEsol.

```
YAgBr2
1.0
3.3916 0.0000 0.0000
0.0000 3.3916 0.0000
0.0000 0.0000 9.3421
Y Ag Br
1 1 2
Direct
0.0000 0.0000 0.0000 Y
0.0000 0.0000 0.5000 Ag
0.5000 0.5000 0.1810 Br
0.5000 0.5000 0.8190 Br
```

Summary:
Uncorrected energy   -101.62 eV for the cell shown
Energy relative to the lowest polymorph listed for this composition   134 meV per atom
Energy relative to the elements, uncorrected   -0.87 eV/atom
Total magnetization   0.000 μB per cell